KLi2Cu, relaxed, DFT PBE-GGA; Fermi-level density of states = 0.4709 states/eV per atom; offset from the most stable computed form = 56 meV/atom; total moment = 0.000 μB/f.u.; formation energy = 0.222 eV per atom; crystal system = orthorhombic
1.0
6.424 -0.005 -0.008
3.013 5.674 0.008
-3.847 -4.285 2.848
Li K Cu
2 1 1
Direct
0.561 0.561 0.000
0.939 0.939 0.000
0.250 0.750 0.500
0.750 0.250 0.500

---

TbErAgGe, relaxed, DFT PBE-GGA; Fermi-level density of states = 0.8565 states/eV per atom; total moment = 0.000 μB/f.u.; formation energy = -0.524 eV per atom; crystal system = cubic
1.0
-3.212 -3.389 1.976
-1.591 -3.917 -2.799
1.602 -4.692 1.062
Ge Tb Er Ag
1 1 1 1
Direct
0.000 0.000 0.000
0.250 0.250 0.250
0.750 0.750 0.750
0.500 0.500 0.500

---

AlCoS2, relaxed, DFT PBE-GGA; Fermi-level density of states = 0.7453 states/eV per atom; total moment = 2.000 μB/f.u.; ΔE_f (raw) = -0.39 eV/atom; crystal system = trigonal
1.0
-4.524 5.089 2.524
-2.268 4.643 5.102
-1.461 6.684 2.435
S Co Al
2 1 1
Direct
0.897 0.897 0.897
0.103 0.103 0.103
0.000 0.000 0.000
0.500 0.500 0.500

---

TbCuPd3, relaxed, DFT PBE-GGA; Fermi-level density of states = 0.4952 states/eV per atom; offset from the most stable computed form = 350 meV/atom; total moment = 0.000 μB/f.u.; formation energy = -0.152 eV per atom; crystal system = tetragonal
1.0
-4.733 1.917 0.066
-0.920 -2.112 -4.557
0.019 -6.963 6.085
Pd Tb Cu
6 2 2
Direct
0.132 0.877 0.754
0.123 0.868 0.246
0.271 0.271 0.543
0.622 0.877 0.754
0.123 0.378 0.246
0.729 0.729 0.457
0.865 0.365 0.730
0.635 0.135 0.270
0.000 0.000 0.000
0.250 0.750 0.500

---

ScAl2Sb, relaxed, DFT PBE-GGA; Fermi-level density of states = 0.7009 states/eV per atom; total moment = 0.477 μB/f.u.; ΔE_f (raw) = -0.02 eV/atom; crystal system = tetragonal
1.0
3.086 0.044 0.000
-0.047 3.086 0.000
0.000 0.000 8.860
Sc Al Sb
1 2 1
Direct
0.500 0.500 0.750
0.000 0.000 0.983
0.000 0.000 0.517
0.500 0.500 0.250

---

KNa, relaxed, DFT PBE-GGA; Fermi-level density of states = 0.7077 states/eV per atom; total moment = 0.000 μB/f.u.; formation energy = 0.103 eV per atom; crystal system = tetragonal
1.0
-0.159 1.374 7.609
-7.537 -1.725 0.154
1.729 -7.429 1.378
K Na
4 4
Direct
0.692 0.308 0.500
0.308 0.692 0.500
0.192 0.192 0.000
0.808 0.808 0.000
0.325 0.675 0.000
0.675 0.325 0.000
0.825 0.825 0.500
0.175 0.175 0.500

---

Pr3SmEr2S6, relaxed, DFT PBE-GGA; Fermi-level density of states = 0.4249 states/eV per atom; total moment = 0.000 μB/f.u.; ΔE_f (raw) = -2.01 eV/atom; crystal system = monoclinic
1.0
6.898 -0.010 -0.002
-3.455 5.970 -0.002
-1.150 -1.991 6.653
Pr Er S Sm
3 2 6 1
Direct
0.163 0.837 0.500
0.837 0.163 0.500
0.500 0.500 0.500
0.334 0.666 0.000
0.666 0.334 0.000
0.265 0.265 0.771
0.077 0.419 0.233
0.923 0.581 0.767
0.419 0.077 0.233
0.581 0.923 0.767
0.735 0.735 0.229
0.000 0.000 0.000

---

RePBr2, relaxed, DFT PBE-GGA; offset from the most stable computed form = 125 meV/atom; total moment = 0.000 μB/f.u.; ΔE_f (raw) = 0.12 eV/atom; crystal system = monoclinic
1.0
3.166 0.000 0.000
0.000 6.286 0.057
0.000 2.855 6.227
Re Br P
1 2 1
Direct
0.500 0.862 0.645
0.000 0.851 0.943
0.500 0.178 0.292
0.000 0.609 0.620

---

VTcRhW2, relaxed, DFT PBE-GGA; Fermi-level density of states = 0.9231 states/eV per atom; total moment = 0.000 μB/f.u.; formation energy = 1.444 eV per atom; crystal system = tetragonal
1.0
4.481 0.000 0.000
0.000 4.349 0.000
0.000 0.000 4.481
W Rh V Tc
2 1 1 1
Direct
0.500 0.000 0.000
0.000 0.000 0.500
0.500 0.500 0.500
0.000 0.000 0.000
0.000 0.500 0.000

---

CsRb2TlBi2, relaxed, DFT PBE-GGA; Fermi-level density of states = 0.7017 states/eV per atom; total moment = 0.000 μB/f.u.; formation energy = -0.280 eV per atom; crystal system = orthorhombic
1.0
8.207 0.000 0.000
0.000 9.661 0.000
-4.103 -4.831 7.776
Bi Cs Tl Rb
4 2 2 4
Direct
0.096 0.784 0.193
0.904 0.216 0.807
0.404 0.591 0.807
0.596 0.409 0.193
0.750 0.000 0.000
0.250 0.000 0.000
0.250 0.500 0.000
0.750 0.500 0.000
0.825 0.500 0.650
0.325 0.150 0.650
0.175 0.500 0.350
0.675 0.850 0.350

---

Tb2SmZn2Si2, relaxed, DFT PBE-GGA; Fermi-level density of states = 1.0805 states/eV per atom; total moment = 0.005 μB/f.u.; ΔE_f (raw) = -0.46 eV/atom; crystal system = trigonal
1.0
-2.171 -2.052 -2.789
1.531 -0.606 -3.741
4.437 -10.508 1.284
Zn Si Tb Sm
2 2 2 1
Direct
0.605 0.605 0.185
0.395 0.395 0.815
0.730 0.730 0.809
0.270 0.270 0.191
0.878 0.878 0.367
0.122 0.122 0.633
0.000 0.000 0.000

---

Li2MoS, relaxed, DFT PBE-GGA; Fermi-level density of states = 0.5694 states/eV per atom; total moment = 0.000 μB/f.u.; ΔE_f (raw) = 0.02 eV/atom; crystal system = tetragonal
1.0
-1.446 6.998 -0.940
-4.057 -1.609 -5.736
-4.604 2.495 -1.972
Li Mo S
4 2 2
Direct
0.566 0.125 0.250
0.184 0.625 0.250
0.875 0.816 0.750
0.375 0.434 0.750
0.750 0.250 0.500
0.000 0.000 0.000
0.250 0.750 0.500
0.500 0.500 0.000

---

SrBeN3, relaxed, DFT PBE-GGA; Fermi-level density of states = 0.4620 states/eV per atom; total moment = 5.050 μB/f.u.; ΔE_f (raw) = 2.67 eV/atom; crystal system = cubic
1.0
4.677 0.000 0.000
0.000 4.677 0.000
0.000 0.000 4.677
Sr N Be
1 3 1
Direct
0.000 0.000 0.000
0.000 0.000 0.500
0.500 0.000 0.000
0.000 0.500 0.000
0.500 0.500 0.500

---

DyBi2Pb, relaxed, DFT PBE-GGA; Fermi-level density of states = 0.4276 states/eV per atom; offset from the most stable computed form = 13 meV/atom; total moment = 0.000 μB/f.u.; formation energy = -0.338 eV per atom; crystal system = triclinic
1.0
-3.128 0.727 5.711
-0.001 -7.734 -1.994
2.188 -3.481 5.455
Bi Pb Dy
4 2 2
Direct
0.548 0.240 0.734
0.001 0.815 0.723
0.452 0.760 0.266
0.999 0.185 0.277
0.392 0.677 0.819
0.608 0.323 0.181
0.049 0.242 0.734
0.951 0.758 0.266

---

LaP3Pt, relaxed, DFT PBE-GGA; Fermi-level density of states = 0.7718 states/eV per atom; offset from the most stable computed form = 0 meV/atom; total moment = 0.000 μB/f.u.; formation energy = -0.216 eV per atom; crystal system = cubic
1.0
4.761 0.000 0.000
0.000 4.761 0.000
0.000 0.000 4.761
Pt La P
1 1 3
Direct
0.000 0.000 0.000
0.500 0.500 0.500
0.000 0.500 0.000
0.500 0.000 0.000
0.000 0.000 0.500

---

CdRh, relaxed, DFT PBE-GGA; Fermi-level density of states = 1.1896 states/eV per atom; total moment = 0.000 μB/f.u.; formation energy = 0.086 eV per atom; crystal system = cubic
1.0
5.186 0.000 0.000
0.000 5.186 0.000
0.000 0.000 5.186
Rh Cd
4 4
Direct
0.901 0.599 0.401
0.599 0.401 0.901
0.099 0.099 0.099
0.401 0.901 0.599
0.096 0.596 0.904
0.596 0.904 0.096
0.404 0.404 0.404
0.904 0.096 0.596

---

BaAl2Pd, relaxed, DFT PBE-GGA; Fermi-level density of states = 0.2966 states/eV per atom; total moment = 0.000 μB/f.u.; formation energy = -0.040 eV per atom; crystal system = cubic
1.0
0.000 3.551 3.551
3.551 0.000 3.551
3.551 3.551 0.000
Pd Al Ba
1 2 1
Direct
0.000 0.000 0.000
0.250 0.250 0.250
0.750 0.750 0.750
0.500 0.500 0.500

---

Hf2NbN3, relaxed, DFT PBE-GGA; Fermi-level density of states = 0.3594 states/eV per atom; total moment = 0.000 μB/f.u.; ΔE_f (raw) = -1.50 eV/atom; crystal system = monoclinic
1.0
-4.939 1.250 -2.122
2.045 -5.089 -0.617
-1.319 -0.180 5.365
N Hf Nb
6 4 2
Direct
0.248 0.254 0.744
0.921 0.581 0.744
0.093 0.426 0.260
0.419 0.079 0.256
0.574 0.907 0.740
0.746 0.752 0.256
0.833 0.167 0.500
0.333 0.667 0.000
0.504 0.496 0.500
0.163 0.837 0.500
0.669 0.331 0.000
0.998 0.002 0.000

---

PI3Br, relaxed, DFT PBE-GGA; Fermi-level density of states = 1.1059 states/eV per atom; offset from the most stable computed form = 948 meV/atom; total moment = 2.416 μB/f.u.; ΔE_f (raw) = 0.95 eV/atom; crystal system = cubic
1.0
-0.816 4.848 3.332
-2.485 -3.333 4.241
5.332 -0.811 2.487
I Br P
3 1 1
Direct
0.000 0.000 0.500
0.000 0.500 0.000
0.500 0.000 0.000
0.000 0.000 0.000
0.500 0.500 0.500

---

SmDy4Tl5, relaxed, DFT PBE-GGA; Fermi-level density of states = 0.8442 states/eV per atom; total moment = 0.000 μB/f.u.; formation energy = -0.349 eV per atom; crystal system = tetragonal
1.0
3.774 0.000 0.000
0.000 3.774 0.000
0.000 0.000 19.388
Dy Tl Sm
4 5 1
Direct
0.000 0.000 0.797
0.000 0.000 0.203
0.000 0.000 0.401
0.000 0.000 0.599
0.500 0.500 0.302
0.500 0.500 0.500
0.500 0.500 0.698
0.500 0.500 0.896
0.500 0.500 0.104
0.000 0.000 0.000

---

Ce5PuBi2, relaxed, DFT PBE-GGA; Fermi-level density of states = 2.5621 states/eV per atom; total moment = 10.559 μB/f.u.; formation energy = -0.380 eV per atom; crystal system = monoclinic
1.0
6.178 1.408 -2.400
-2.444 5.839 -2.416
-0.747 -1.428 6.581
Ce Bi Pu
5 2 1
Direct
0.772 0.285 0.000
0.261 0.261 0.000
0.285 0.771 0.000
0.771 0.771 0.485
0.286 0.286 0.515
0.278 0.778 0.500
0.778 0.278 0.500
0.794 0.793 0.000

---

AcPrPBr, relaxed, DFT PBE-GGA; Fermi-level density of states = 0.4059 states/eV per atom; total moment = 0.000 μB/f.u.; ΔE_f (raw) = -1.46 eV/atom; crystal system = trigonal
1.0
4.212 -0.001 0.000
-2.106 3.649 0.000
-2.105 -1.215 7.878
Pr P Br Ac
1 1 1 1
Direct
0.106 0.951 0.073
0.314 0.555 0.884
0.959 0.378 0.352
0.499 0.147 0.661

---

PmErNi2H8, relaxed, DFT PBE-GGA; Fermi-level density of states = 0.2451 states/eV per atom; total moment = 0.000 μB/f.u.; uncorrected energy = -4.281 eV per atom; crystal system = trigonal
1.0
4.440 0.000 0.000
2.220 3.845 0.000
2.220 1.282 6.277
H Pm Ni Er
8 1 2 1
Direct
0.462 0.462 0.167
0.909 0.462 0.167
0.158 0.158 0.525
0.538 0.538 0.833
0.462 0.909 0.167
0.538 0.091 0.833
0.091 0.538 0.833
0.842 0.842 0.475
0.500 0.500 0.500
0.756 0.756 0.731
0.244 0.244 0.269
0.000 0.000 0.000

---

GeTeMoI2, relaxed, DFT PBE-GGA; Fermi-level density of states = 0.6290 states/eV per atom; offset from the most stable computed form = 304 meV/atom; total moment = 4.375 μB/f.u.; ΔE_f (raw) = 0.93 eV/atom; crystal system = tetragonal
1.0
-5.059 2.469 -0.261
-2.451 -4.873 1.416
0.391 1.371 5.395
Ge Te I Mo
1 1 2 1
Direct
0.000 0.000 0.000
0.000 0.000 0.500
0.500 0.000 0.000
0.000 0.500 0.000
0.500 0.500 0.500

---

PmP2Rh3, relaxed, DFT PBE-GGA; Fermi-level density of states = 0.4450 states/eV per atom; total moment = 0.000 μB/f.u.; formation energy = -1.046 eV per atom; crystal system = monoclinic
1.0
3.911 0.000 0.000
-1.955 7.565 -2.468
0.000 0.048 9.725
P Pm Rh
6 3 9
Direct
0.637 0.275 0.450
0.462 0.924 0.222
0.363 0.725 0.550
0.199 0.397 0.132
0.538 0.076 0.778
0.801 0.603 0.868
0.154 0.308 0.693
0.846 0.692 0.307
0.000 0.000 0.000
0.957 0.915 0.673
0.500 0.000 0.500
0.372 0.743 0.792
0.777 0.555 0.605
0.223 0.445 0.395
0.628 0.257 0.208
0.043 0.085 0.327
0.677 0.355 0.956
0.323 0.645 0.044